# GGA-PBE Ta2AlHg, relaxed
data_Ta2AlHg
_chemical_formula_sum 'Ta8 Al4 Hg4'
_cell_length_a 6.642
_cell_length_b 6.642
_cell_length_c 6.642
_cell_angle_alpha 90.00
_cell_angle_beta 90.00
_cell_angle_gamma 90.00
_symmetry_space_group_name_H-M 'F -4 3 m'
_symmetry_Int_Tables_number 216
_symmetry_space_group_name_Hall 'F -4 2 3'
loop_
_atom_site_label
_atom_site_type_symbol
_atom_site_fract_x
_atom_site_fract_y
_atom_site_fract_z
Ta1 Ta 0.000 0.000 0.000
Ta2 Ta 0.250 0.250 0.250
Al1 Al 0.000 0.000 0.500
Hg1 Hg 0.250 0.250 0.750
# * E: -6.4953 eV per atom

# GGA-PBE ScGaNiPd, relaxed
data_ScGaNiPd
_chemical_formula_sum 'Sc4 Ga4 Ni4 Pd4'
_cell_length_a 6.285
_cell_length_b 6.285
_cell_length_c 6.285
_cell_angle_alpha 90.00
_cell_angle_beta 90.00
_cell_angle_gamma 90.00
_symmetry_space_group_name_H-M 'F -4 3 m'
_symmetry_Int_Tables_number 216
_symmetry_space_group_name_Hall 'F -4 2 3'
loop_
_atom_site_label
_atom_site_type_symbol
_atom_site_fract_x
_atom_site_fract_y
_atom_site_fract_z
Sc1 Sc 0.000 0.000 0.000
Ga1 Ga 0.250 0.250 0.250
Ni1 Ni 0.000 0.000 0.500
Pd1 Pd 0.250 0.250 0.750
# * relative energy among the computed polymorphs: 19.7 kJ/mol of atoms

# GGA-PBE RbPuSn, relaxed
data_RbPuSn
_chemical_formula_sum 'Rb4 Pu4 Sn4'
_cell_length_a 7.762
_cell_length_b 7.762
_cell_length_c 7.762
_cell_angle_alpha 90.00
_cell_angle_beta 90.00
_cell_angle_gamma 90.00
_symmetry_space_group_name_H-M 'F -4 3 m'
_symmetry_Int_Tables_number 216
_symmetry_space_group_name_Hall 'F -4 2 3'
loop_
_atom_site_label
_atom_site_type_symbol
_atom_site_fract_x
_atom_site_fract_y
_atom_site_fract_z
Rb1 Rb 0.000 0.000 0.000
Pu1 Pu 0.250 0.250 0.250
Sn1 Sn 0.000 0.000 0.500
# * E: -5.9248 eV per atom